Record 1
A relaxed Zr2Os2Pd crystal, computed with PBE.

a b c (Å): 6.9143 6.9143 3.8580
angles (deg): 90.00 90.00 90.00
Space group P4/mbm (No. 127)
Symmetry-distinct sites (fractional):
Zr: 0.1812 0.3188 0.0000 x4
Os: 0.1269 0.6269 0.5000 x4
Pd: 0.0000 0.0000 0.5000 x2

Output
Density, g/cm³: 12.05
Uncorrected energy, eV/cell: -91.64
Offset from the most stable computed form, eV per formula unit: 0.00
Total moment, μB/f.u.: 0.0
Energy of formation from the pure elements, eV/atom: -0.21

***

Record 2
A relaxed Zr2OsPd2 crystal, computed with PBE.

a b c (Å): 7.2204 7.2204 3.4733
angles (deg): 90.00 90.00 90.00
Space group P4/mbm (No. 127)
Symmetry-distinct sites (fractional):
Zr: 0.1816 0.3184 0.0000 x4
Os: 0.0000 0.0000 0.5000 x2
Pd: 0.1264 0.6264 0.5000 x4

Output
Density, g/cm³: 10.74
Uncorrected energy, eV/cell: -80.19
Total moment, μB/f.u.: 0.0
Energy of formation from the pure elements, eV/atom: -0.28

***

Record 3
A relaxed Zr2Os2Pd crystal, computed with PBE.

a b c (Å): 3.5942 3.5942 15.1940
angles (deg): 90.00 90.00 90.00
Space group I4/mmm (No. 139)
Symmetry-distinct sites (fractional):
Zr: 0.0000 0.0000 0.1050 x4
Os: 0.0000 0.5000 0.2500 x4
Pd: 0.0000 0.0000 0.5000 x2

Output
Density, g/cm³: 11.32
Uncorrected energy, eV/cell: -88.74
Offset from the most stable computed form, eV per formula unit: 1.45
Total moment, μB/f.u.: 0.0
Energy of formation from the pure elements, eV/atom: 0.08

***

Record 4
A relaxed ZrOsPd crystal, computed with PBE.

a b c (Å): 10.3521 2.8599 7.4528
angles (deg): 90.00 108.09 90.00
Space group C2/m (No. 12)
Symmetry-distinct sites (fractional):
Zr: 0.1670 0.0000 0.1513 x4
Os: 0.1437 0.5000 0.4837 x4
Pd: 0.0749 0.0000 0.7600 x4

Output
Density, g/cm³: 12.28
Uncorrected energy, eV/cell: -101.23
Total moment, μB/f.u.: 0.0
Energy of formation from the pure elements, eV/atom: -0.11

***

Record 5
A relaxed ZrOs2Pd crystal, computed with PBE.

a b c (Å): 6.3956 6.3956 6.3956
angles (deg): 90.00 90.00 90.00
Space group Fm-3m (No. 225)
Symmetry-distinct sites (fractional):
Zr: 0.0000 0.0000 0.0000 x4
Os: 0.2500 0.2500 0.2500 x8
Pd: 0.0000 0.0000 0.5000 x4

Output
Density, g/cm³: 14.68
Uncorrected energy, eV/cell: -141.38
Offset from the most stable computed form, eV per formula unit: 0.00
Total moment, μB/f.u.: 0.0
Energy of formation from the pure elements, eV/atom: 0.21

***

Record 6
A relaxed Zr4OsPd crystal, computed with PBE.

a b c (Å): 3.3094 3.3094 10.8405
angles (deg): 90.00 90.00 90.00
Space group P4/mmm (No. 123)
Symmetry-distinct sites (fractional):
Zr: 0.0000 0.0000 0.1505 x2
Zr: 0.5000 0.5000 0.3403 x2
Os: 0.5000 0.5000 0.0000 x1
Pd: 0.0000 0.0000 0.5000 x1

Output
Density, g/cm³: 9.25
Uncorrected energy, eV/cell: -53.05
Offset from the most stable computed form, eV per formula unit: 0.00
Total moment, μB/f.u.: 0.0
Energy of formation from the pure elements, eV/atom: -0.41

***

Record 7
A relaxed Zr5Os4Pd crystal, computed with PBE.

a b c (Å): 3.2448 3.2448 17.1179
angles (deg): 90.00 90.00 90.00
Space group P4/mmm (No. 123)
Symmetry-distinct sites (fractional):
Zr: 0.0000 0.0000 0.0000 x1
Zr: 0.0000 0.0000 0.1952 x2
Zr: 0.0000 0.0000 0.3914 x2
Os: 0.5000 0.5000 0.0977 x2
Os: 0.5000 0.5000 0.2940 x2
Pd: 0.5000 0.5000 0.5000 x1

Output
Density, g/cm³: 12.19
Uncorrected energy, eV/cell: -98.24
Total moment, μB/f.u.: 0.0
Energy of formation from the pure elements, eV/atom: -0.54

***

Record 8
A relaxed PmOs6 crystal, computed with PBE.

a b c (Å): 6.8077 6.8077 6.8077
angles (deg): 90.00 90.00 90.00
Space group Im-3m (No. 229)
Symmetry-distinct sites (fractional):
Pm: 0.0000 0.0000 0.0000 x2
Os: 0.0000 0.2500 0.5000 x12

Output
Density, g/cm³: 13.54
Uncorrected energy, eV/cell: -133.96
Total moment, μB/f.u.: 0.0
Energy of formation from the pure elements, eV/atom: 0.74

***

Record 9
A relaxed Pm4Os crystal, computed with PBE.

a b c (Å): 13.0866 13.5369 7.6037
angles (deg): 90.00 90.00 90.00
Space group Fdd2 (No. 43)
Symmetry-distinct sites (fractional):
Pm: 0.1176 0.1691 0.0000 x16
Pm: 0.1204 0.1703 0.4996 x16
Os: 0.0000 0.0000 0.5095 x8

Output
Density, g/cm³: 7.60
Uncorrected energy, eV/cell: -242.41
Offset from the most stable computed form, eV per formula unit: 0.00
Total moment, μB/f.u.: 0.0
Energy of formation from the pure elements, eV/atom: -0.01

***

Record 10
A relaxed Pm2Os3 crystal, computed with PBE.

a b c (Å): 5.1087 10.4595 8.1182
angles (deg): 90.00 90.00 90.00
Space group Cmce (No. 64)
Symmetry-distinct sites (fractional):
Pm: 0.0000 0.1543 0.0962 x8
Os: 0.0000 0.0000 0.5000 x4
Os: 0.2500 0.0946 0.7500 x8

Output
Density, g/cm³: 13.18
Uncorrected energy, eV/cell: -174.25
Total moment, μB/f.u.: 0.0
Energy of formation from the pure elements, eV/atom: -0.07

***

Record 11
A relaxed Pm4Os crystal, computed with PBE.

a b c (Å): 5.5800 5.5800 5.5800
angles (deg): 90.00 90.00 90.00
Space group Pm-3m (No. 221)
Symmetry-distinct sites (fractional):
Pm: 0.0000 0.0000 0.0000 x1
Pm: 0.0000 0.5000 0.5000 x3
Os: 0.5000 0.5000 0.5000 x1

Output
Density, g/cm³: 7.36
Uncorrected energy, eV/cell: -29.69
Offset from the most stable computed form, eV per formula unit: 0.62
Total moment, μB/f.u.: 0.8
Energy of formation from the pure elements, eV/atom: 0.11

***

Record 12
A relaxed PmOs2 crystal, computed with PBE.

a b c (Å): 7.6713 7.6713 7.6713
angles (deg): 90.00 90.00 90.00
Space group Fd-3m (No. 227, origin choice 2)
Symmetry-distinct sites (fractional):
Pm: 0.1250 0.1250 0.1250 x8
Os: 0.0000 0.0000 0.5000 x16

Output
Density, g/cm³: 15.46
Uncorrected energy, eV/cell: -220.67
Total moment, μB/f.u.: 0.0
Energy of formation from the pure elements, eV/atom: -0.12

***

Record 13
A relaxed Pm5Os2 crystal, computed with PBE.

a b c (Å): 16.2103 6.5907 7.4246
angles (deg): 90.00 97.10 90.00
Space group C2/c (No. 15)
Symmetry-distinct sites (fractional):
Pm: 0.0000 0.0736 0.2500 x4
Pm: 0.0917 0.3877 0.9148 x8
Pm: 0.2171 0.0754 0.3153 x8
Os: 0.1102 0.2139 0.5752 x8

Output
Density, g/cm³: 9.33
Uncorrected energy, eV/cell: -188.93
Total moment, μB/f.u.: 0.0
Energy of formation from the pure elements, eV/atom: -0.15

***

Record 14
A relaxed PmOs4 crystal, computed with PBE.

a b c (Å): 4.7980 4.7980 4.7980
angles (deg): 90.00 90.00 90.00
Space group Pm-3m (No. 221)
Symmetry-distinct sites (fractional):
Pm: 0.0000 0.0000 0.0000 x1
Os: 0.0000 0.0000 0.5000 x3
Os: 0.5000 0.5000 0.5000 x1

Output
Density, g/cm³: 13.62
Uncorrected energy, eV/cell: -31.25
Total moment, μB/f.u.: 2.5
Energy of formation from the pure elements, eV/atom: 3.68

***

Record 15
A relaxed Pm3PrOs crystal, computed with PBE.

a b c (Å): 5.5914 5.5914 5.5914
angles (deg): 90.00 90.00 90.00
Space group Pm-3m (No. 221)
Symmetry-distinct sites (fractional):
Pm: 0.0000 0.0000 0.5000 x3
Pr: 0.5000 0.5000 0.5000 x1
Os: 0.0000 0.0000 0.0000 x1

Output
Density, g/cm³: 7.28
Uncorrected energy, eV/cell: -29.79
Offset from the most stable computed form, eV per formula unit: 0.88
Total moment, μB/f.u.: 0.9
Energy of formation from the pure elements, eV/atom: 0.09

***

Record 16
A relaxed Pm2Pr3Os2 crystal, computed with PBE.

a b c (Å): 12.4537 4.0599 8.6429
angles (deg): 90.00 112.18 90.00
Space group C2/m (No. 12)
Symmetry-distinct sites (fractional):
Pm: 0.1687 0.0000 0.3153 x4
Pr: 0.0000 0.5000 0.5000 x2
Pr: 0.1231 0.5000 0.9270 x4
Os: 0.1813 0.0000 0.7178 x4

Output
Density, g/cm³: 8.97
Uncorrected energy, eV/cell: -93.62
Total moment, μB/f.u.: 0.0
Energy of formation from the pure elements, eV/atom: -0.07

***

Record 17
A relaxed Pm2PrOs crystal, computed with PBE.

a b c (Å): 4.8198 4.8198 16.2767
angles (deg): 90.00 90.00 120.00
Space group R-3m (No. 166, hexagonal axes)
Symmetry-distinct sites (fractional):
Pm: 0.0000 0.0000 0.2283 x6
Pr: 0.0000 0.0000 0.0000 x3
Os: 0.0000 0.0000 0.5000 x3

Output
Density, g/cm³: 9.45
Uncorrected energy, eV/cell: -74.10
Offset from the most stable computed form, eV per formula unit: 1.26
Total moment, μB/f.u.: 0.0
Energy of formation from the pure elements, eV/atom: 0.20

***

Record 18
A relaxed PmPrOs4 crystal, computed with PBE.

a b c (Å): 7.6997 7.6997 7.6997
angles (deg): 90.00 90.00 90.00
Space group F-43m (No. 216)
Symmetry-distinct sites (fractional):
Pm: 0.0000 0.0000 0.0000 x4
Pr: 0.2500 0.2500 0.2500 x4
Os: 0.1251 0.1251 0.6251 x16

Output
Density, g/cm³: 15.23
Uncorrected energy, eV/cell: -219.58
Total moment, μB/f.u.: 0.0
Energy of formation from the pure elements, eV/atom: -0.07

***

Record 19
A relaxed Pm4PrOs crystal, computed with PBE.

a b c (Å): 9.8876 12.9622 6.2253
angles (deg): 90.00 106.95 90.00
Space group C2/c (No. 15)
Symmetry-distinct sites (fractional):
Pm: 0.1032 0.1681 0.0516 x8
Pm: 0.2436 0.4089 0.3763 x8
Pr: 0.0000 0.3977 0.7500 x4
Os: 0.0000 0.0014 0.2500 x4

Output
Density, g/cm³: 7.93
Uncorrected energy, eV/cell: -140.17
Total moment, μB/f.u.: 0.0
Energy of formation from the pure elements, eV/atom: -0.01

***

Record 20
A relaxed PmPr2Os crystal, computed with PBE.

a b c (Å): 3.8865 3.8865 32.2063
angles (deg): 90.00 90.00 120.00
Space group R-3m (No. 166, hexagonal axes)
Symmetry-distinct sites (fractional):
Pm: 0.0000 0.0000 0.0000 x3
Pr: 0.0000 0.0000 0.1132 x6
Os: 0.0000 0.0000 0.5000 x3

Output
Density, g/cm³: 7.30
Uncorrected energy, eV/cell: -71.82
Offset from the most stable computed form, eV per formula unit: 1.96
Total moment, μB/f.u.: 0.0
Energy of formation from the pure elements, eV/atom: 0.40